! WAuSe2 SCAN single point on PBEsol structure; values from VASP
! Symmetry: Pmm2 (25)
! Total magnetic moment in μB per formula unit: 0.00
! DFT total energy in eV per atom: -44.181
! Polymorph energy (0 for the lowest one) in meV/atom: 355
&SYSTEM
  ibrav = 0, nat = 4, ntyp = 3
/
ATOMIC_SPECIES
Au 196.97 Au.upf
W 183.84 W.upf
Se 78.96 Se.upf
CELL_PARAMETERS angstrom
3.131 0.000 0.000
0.000 4.019 0.000
0.000 0.000 5.536
ATOMIC_POSITIONS crystal
Au 0.500 0.500 0.765
W 0.000 0.000 0.439
Se 0.000 0.000 0.992
Se 0.500 0.500 0.304